No. 1
Density functional theory data (SCAN) for a crystal of Gd2Al4CoGe2 relaxed with PBEsol.

The structure belongs to space group I4/mmm (No. 139); the cell edges are 4.101, 4.101 and 19.434 Å and the angles 90.00°, 90.00° and 90.00°. The inequivalent atoms are Gd at (0.000, 0.000, 0.184), Al at (0.000, 0.500, 0.066), Co at (0.000, 0.000, 0.000) and Ge at (0.000, 0.000, 0.337).

Its total magnetization is 14.67 μB per formula unit. The value obtained for the total energy is -23.342 eV/atom. The density of states at the Fermi level comes out at 4.5 states/eV/cell.



No. 2
Density functional theory data (SCAN) for a crystal of BaFeS2Cl relaxed with PBEsol.

The structure belongs to space group P4/mmm (No. 123); the cell edges are 4.574, 4.574 and 5.027 Å and the angles 90.00°, 90.00° and 90.00°. The inequivalent atoms are Ba at (0.000, 0.000, 0.000), Fe at (0.500, 0.500, 0.500), S at (0.000, 0.500, 0.500) and Cl at (0.500, 0.500, 0.000).

Its total magnetization is 4.05 μB per formula unit. The value obtained for the total energy is -18.365 eV/atom. The formation energy without anion corrections is -6.910 eV/f.u. The density of states at the Fermi level comes out at 3.0 states/eV/cell.



No. 3
Density functional theory data (SCAN) for a crystal of BaMg2FeSn relaxed with PBEsol.

The structure belongs to space group P4/mmm (No. 123); the cell edges are 5.444, 5.444 and 5.015 Å and the angles 90.00°, 90.00° and 90.00°. The inequivalent atoms are Ba at (0.000, 0.000, 0.000), Mg at (0.000, 0.500, 0.500), Fe at (0.500, 0.500, 0.000) and Sn at (0.500, 0.500, 0.500).

Its total magnetization is 2.40 μB per formula unit. The value obtained for the total energy is -20.394 eV/atom. The density of states at the Fermi level comes out at 3.8 states/eV/cell.



No. 4
Density functional theory data (SCAN) for a crystal of P2S2N relaxed with PBEsol.

The structure belongs to space group P4/mmm (No. 123); the cell edges are 4.376, 4.376 and 4.556 Å and the angles 90.00°, 90.00° and 90.00°. The inequivalent atoms are P at (0.000, 0.000, 0.000), P at (0.000, 0.000, 0.500), S at (0.000, 0.500, 0.000) and N at (0.500, 0.500, 0.500).

Its total magnetization is 1.48 μB per formula unit. The value obtained for the total energy is -8.200 eV/atom. The formation energy without anion corrections is 8.344 eV/f.u. The density of states at the Fermi level comes out at 2.5 states/eV/cell.



No. 5
Density functional theory data (SCAN) for a crystal of KIn2Ag relaxed with PBEsol.

The structure belongs to space group Immm (No. 71); the cell edges are 3.227, 5.694 and 11.241 Å and the angles 90.00°, 90.00° and 90.00°. The inequivalent atoms are K at (0.000, 0.000, 0.000), In at (0.000, 0.500, 0.212) and Ag at (0.000, 0.000, 0.500).

Its total magnetization is 0.00 μB per formula unit. The value obtained for the total energy is -26.654 eV/atom. The density of states at the Fermi level comes out at 2.9 states/eV/cell.



No. 6
Density functional theory data (SCAN) for a crystal of Nb3CrS6 relaxed with PBEsol.

The structure belongs to space group P6_322 (No. 182); the cell edges are 5.7245, 5.7245 and 11.8930 Å and the angles 90.00°, 90.00° and 120.00°. The inequivalent atoms are Nb at (0.0000, 0.0000, 0.0000), Nb at (0.3333, 0.6667, 0.0022), Cr at (0.3333, 0.6667, 0.7500) and S at (0.0001, 0.3321, 0.3672).

Its total magnetization is 3.01 μB per formula unit. The value obtained for the total energy is -18.829 eV/atom. The formation energy without anion corrections is -12.748 eV/f.u. The density of states at the Fermi level comes out at 1.6 states/eV/cell.



No. 7
Density functional theory data (SCAN) for a crystal of Ta2IrPt relaxed with PBEsol.

The structure belongs to space group P4/mmm (No. 123); the cell edges are 3.980, 3.980 and 3.961 Å and the angles 90.00°, 90.00° and 90.00°. The inequivalent atoms are Ta at (0.000, 0.500, 0.000), Ir at (0.000, 0.000, 0.500) and Pt at (0.500, 0.500, 0.500).

Its total magnetization is 0.00 μB per formula unit. The value obtained for the total energy is -69.417 eV/atom. The density of states at the Fermi level comes out at 2.3 states/eV/cell.



No. 8
Density functional theory data (SCAN) for a crystal of La2ScTc relaxed with PBEsol.

The structure belongs to space group Cm (No. 8); the cell edges are 11.871, 3.558 and 5.368 Å and the angles 90.00°, 116.58° and 90.00°. The inequivalent atoms are La at (0.000, 0.000, 0.000), La at (0.203, 0.000, 0.704), Sc at (0.398, 0.000, 0.398) and Tc at (0.212, 0.500, 0.224).

Its total magnetization is 0.00 μB per formula unit. For the polymorph energy (0 for the lowest one), the calculation gives 33 meV/atom. The value obtained for the total energy is -33.800 eV/atom. The density of states at the Fermi level comes out at 9.5 states/eV/cell.



No. 9
Density functional theory data (SCAN) for a crystal of SrZnSi3 relaxed with PBEsol.

The structure belongs to space group Pm-3m (No. 221); the cell edges are 4.773, 4.773 and 4.773 Å and the angles 90.00°, 90.00° and 90.00°. The inequivalent atoms are Sr at (0.000, 0.000, 0.000), Zn at (0.500, 0.500, 0.500) and Si at (0.000, 0.500, 0.500).

Its total magnetization is 0.00 μB per formula unit. The value obtained for the total energy is -12.683 eV/atom. The formation energy without anion corrections is 2.421 eV/f.u. The density of states at the Fermi level comes out at 2.0 states/eV/cell.



No. 10
Density functional theory data (SCAN) for a crystal of BeReSi2 relaxed with PBEsol.

The structure belongs to space group Pmmm (No. 47); the cell edges are 3.143, 3.869 and 3.939 Å and the angles 90.00°, 90.00° and 90.00°. The inequivalent atoms are Be at (0.000, 0.000, 0.000), Re at (0.500, 0.000, 0.500), Si at (0.000, 0.500, 0.500) and Si at (0.500, 0.500, 0.000).

Its total magnetization is 0.00 μB per formula unit. The value obtained for the total energy is -23.683 eV/atom. The formation energy without anion corrections is 0.750 eV/f.u. The density of states at the Fermi level comes out at 1.3 states/eV/cell.



No. 11
Density functional theory data (SCAN) for a crystal of TiFe3Pb relaxed with PBEsol.

The structure belongs to space group Pm-3m (No. 221); the cell edges are 4.374, 4.374 and 4.374 Å and the angles 90.00°, 90.00° and 90.00°. The inequivalent atoms are Ti at (0.000, 0.000, 0.000), Fe at (0.000, 0.000, 0.500) and Pb at (0.500, 0.500, 0.500).

Its total magnetization is 5.88 μB per formula unit. For the polymorph energy (0 for the lowest one), the calculation gives 0 meV/atom. The value obtained for the total energy is -28.161 eV/atom. The density of states at the Fermi level comes out at 3.2 states/eV/cell.



No. 12
Density functional theory data (SCAN) for a crystal of Ca3MgCu relaxed with PBEsol.

The structure belongs to space group I4mm (No. 107); the cell edges are 4.547, 4.547 and 17.788 Å and the angles 90.00°, 90.00° and 90.00°. The inequivalent atoms are Ca at (0.000, 0.000, 0.000), Ca at (0.000, 0.500, 0.335), Mg at (0.000, 0.000, 0.191) and Cu at (0.000, 0.000, 0.443).

Its total magnetization is 0.01 μB per formula unit. The value obtained for the total energy is -9.436 eV/atom. The density of states at the Fermi level comes out at 8.4 states/eV/cell.



No. 13
Density functional theory data (SCAN) for a crystal of TlNiPb2 relaxed with PBEsol.

The structure belongs to space group R-3m (No. 166, hexagonal axes); the cell edges are 3.6609, 3.6609 and 25.3585 Å and the angles 90.00°, 90.00° and 120.00°. The inequivalent atoms are Tl at (0.0000, 0.0000, 0.0000), Ni at (0.0000, 0.0000, 0.5000) and Pb at (0.0000, 0.0000, 0.2295).

Its total magnetization is 0.00 μB per formula unit. For the polymorph energy (0 for the lowest one), the calculation gives 0 meV/atom. The value obtained for the total energy is -59.889 eV/atom. The density of states at the Fermi level comes out at 5.9 states/eV/cell.